Entry 1:
Crystalline Pm2C at its relaxed geometry. Source: the Alexandria database, functional PBE.

The structure in POSCAR format:
```
Pm2C
1.0
3.6524 0.0000 0.0000
-1.8262 3.1623 0.1279
0.0000 -0.4090 6.5922
Pm C
2 1
Direct
0.6620 0.3241 0.2877
0.3380 0.6759 0.7123
0.0000 0.0000 0.5000
```

Computed properties:
**Fermi-level density of states**: 0.761 states/eV/atom
**Excess energy over the best structure of this formula in the dataset**: 2 meV/atom
**Calculated formation energy**: -0.14 eV per atom
**Crystal system**: monoclinic

Entry 2:
Crystalline PmC at its relaxed geometry. Source: the Alexandria database, functional PBE.

The structure in POSCAR format:
```
PmC
1.0
-3.2846 0.2729 1.8486
0.4821 -3.4584 1.3671
1.9887 5.4262 2.7324
C Pm
2 2
Direct
0.2500 0.4601 0.2500
0.7500 0.5399 0.7500
0.2500 0.0160 0.7500
0.7500 0.9840 0.2500
```

Computed properties:
**Fermi-level density of states**: 0.931 states/eV/atom
**Excess energy over the best structure of this formula in the dataset**: 419 meV/atom
**Calculated formation energy**: 0.24 eV per atom
**Crystal system**: orthorhombic

Entry 3:
Crystalline Pm3C at its relaxed geometry. Source: the Alexandria database, functional PBE.

The structure in POSCAR format:
```
Pm3C
1.0
5.9461 0.0000 0.0000
0.0000 6.4485 0.0000
0.0000 -3.2243 5.5846
Pm C
6 2
Direct
0.4740 0.3418 0.0000
0.9740 0.6582 0.0000
0.9740 0.0000 0.6582
0.4740 0.6582 0.6582
0.4740 0.0000 0.3418
0.9740 0.3418 0.3418
0.7241 0.3333 0.6667
0.2241 0.6667 0.3333
```

Computed properties:
**Fermi-level density of states**: 1.248 states/eV/atom
**Excess energy over the best structure of this formula in the dataset**: 0 meV/atom
**Calculated formation energy**: 0.03 eV per atom
**Crystal system**: hexagonal

Entry 4:
Crystalline PmC3 at its relaxed geometry. Source: the Alexandria database, functional PBE.

The structure in POSCAR format:
```
PmC3
1.0
-2.1569 -2.4082 -2.0371
3.1405 -1.8697 -1.1149
-0.7864 -0.1684 4.6155
Pm C
1 3
Direct
0.0000 0.0000 0.0000
0.5000 0.5000 0.0000
0.3259 0.3259 0.6518
0.6741 0.6741 0.3482
```

Computed properties:
**Fermi-level density of states**: 0.676 states/eV/atom
**Excess energy over the best structure of this formula in the dataset**: 142 meV/atom
**Calculated formation energy**: 0.53 eV per atom
**Crystal system**: tetragonal

Entry 5:
Crystalline Pm4C at its relaxed geometry. Source: the Alexandria database, functional PBE.

The structure in POSCAR format:
```
Pm4C
1.0
5.2113 0.0000 0.0000
0.0000 5.2113 0.0000
0.0000 0.0000 5.2113
C Pm
1 4
Direct
0.5000 0.5000 0.5000
0.0000 0.0000 0.0000
0.5000 0.0000 0.5000
0.0000 0.5000 0.5000
0.5000 0.5000 0.0000
```

Computed properties:
**Fermi-level density of states**: 1.333 states/eV/atom
**Calculated formation energy**: 0.08 eV per atom
**Crystal system**: cubic

Entry 6:
Crystalline Pm2C at its relaxed geometry. Source: the Alexandria database, functional PBE.

The structure in POSCAR format:
```
Pm2C
1.0
-1.3629 -3.3879 0.3014
1.2361 1.7486 2.9721
-11.9986 5.0085 2.0433
Pm C
4 2
Direct
0.1645 0.8290 0.8935
0.3355 0.1710 0.3935
0.6645 0.8290 0.6065
0.8355 0.1710 0.1065
0.0000 0.5000 0.5000
0.5000 0.5000 0.0000
```

Computed properties:
**Fermi-level density of states**: 0.754 states/eV/atom
**Excess energy over the best structure of this formula in the dataset**: 0 meV/atom
**Calculated formation energy**: -0.14 eV per atom
**Crystal system**: orthorhombic

Entry 7:
Crystalline PmC at its relaxed geometry. Source: the Alexandria database, functional PBE.

The structure in POSCAR format:
```
PmC
1.0
-0.2988 2.8083 2.3245
-3.6785 -1.8157 -1.1571
0.1810 -4.0322 4.8948
Pm C
2 2
Direct
0.3612 0.7223 0.2776
0.6388 0.2777 0.7224
0.0786 0.1573 0.4490
0.9214 0.8427 0.5510
```

Computed properties:
**Fermi-level density of states**: 0.449 states/eV/atom
**Excess energy over the best structure of this formula in the dataset**: 0 meV/atom
**Calculated formation energy**: -0.17 eV per atom
**Crystal system**: monoclinic

Entry 8:
Crystalline PmC3 at its relaxed geometry. Source: the Alexandria database, functional PBE.

The structure in POSCAR format:
```
PmC3
1.0
-4.3711 -1.7874 1.7090
-0.1629 -3.3614 -3.9321
2.5424 -2.9988 3.3661
Pm C
2 6
Direct
0.7500 0.2162 0.7838
0.2500 0.7838 0.2162
0.2500 0.9254 0.6872
0.2500 0.3128 0.0746
0.2500 0.1242 0.8758
0.7500 0.0746 0.3128
0.7500 0.6872 0.9254
0.7500 0.8758 0.1242
```

Computed properties:
**Fermi-level density of states**: 0.347 states/eV/atom
**Excess energy over the best structure of this formula in the dataset**: 0 meV/atom
**Calculated formation energy**: 0.39 eV per atom
**Crystal system**: orthorhombic